(1)
Material: Th2ZrGaN5
Method: DFT, GGA-PBE
State: optimized geometry

Cell lengths 7.2186, 7.2186, 10.3516 Å; angles 90.00, 90.00, 152.74 degrees
Closest atoms and distances in Å follow each position.
Sites, in units of the cell vectors:
Th (0.1177, 0.8823, 0.5000)  7 N 2.44-2.67
Th (0.1303, 0.8697, 0.0978)  6 N 2.47-2.69
Th (0.8697, 0.1303, 0.5978)  6 N 2.47-2.69
Th (0.8823, 0.1177, 0.0000)  7 N 2.44-2.67
Zr (0.2097, 0.7903, 0.8073)  6 N 2.16-2.31
Zr (0.7903, 0.2097, 0.3073)  6 N 2.16-2.31
Ga (0.4855, 0.5145, 0.2837)  4 N 1.95-2.14
Ga (0.5145, 0.4855, 0.7837)  4 N 1.95-2.14
N (0.0507, 0.9493, 0.8614)  2 Ga 1.95
N (0.2889, 0.7111, 0.4578)  2 Zr 2.31, 3 Th 2.44-2.51
N (0.3030, 0.6970, 0.1666)  2 Zr 2.25
N (0.3638, 0.6362, 0.8166)  1 Ga 2.14, 1 Zr 2.16
N (0.4975, 0.5025, 0.5933)  1 Ga 1.98
N (0.5025, 0.4975, 0.0933)  1 Ga 1.98
N (0.6362, 0.3638, 0.3166)  1 Ga 2.14, 1 Zr 2.16
N (0.6970, 0.3030, 0.6666)  2 Zr 2.25
N (0.7111, 0.2889, 0.9578)  2 Zr 2.31, 3 Th 2.44-2.51
N (0.9493, 0.0507, 0.3614)  2 Ga 1.95

Formation energy from raw total energies (eV per atom): -1.2659
Spin magnetization (μB/f.u.): 0.00
DOS at the Fermi energy (states/eV/atom): 0.060
Symmetry: Cmc2_1, No. 36



(2)
Material: LaPm2Ni
Method: DFT, GGA-PBE
State: optimized geometry

Cell lengths 7.0555, 9.9651, 6.5817 Å; angles 90.00, 90.00, 90.00 degrees
Closest atoms and distances in Å follow each position.
Sites, in units of the cell vectors:
La (0.0373, 0.2500, 0.1427)  2 Ni 2.79-2.99
La (0.4627, 0.7500, 0.6427)  2 Ni 2.79-2.99
La (0.5373, 0.2500, 0.3573)  2 Ni 2.79-2.99
La (0.9627, 0.7500, 0.8573)  2 Ni 2.79-2.99
Pm (0.1723, 0.0671, 0.6734)  2 Ni 2.83-2.91
Pm (0.1723, 0.4329, 0.6734)  2 Ni 2.83-2.91
Pm (0.3277, 0.5671, 0.1734)  2 Ni 2.83-2.91
Pm (0.3277, 0.9329, 0.1734)  2 Ni 2.83-2.91
Pm (0.6723, 0.0671, 0.8266)  2 Ni 2.83-2.91
Pm (0.6723, 0.4329, 0.8266)  2 Ni 2.83-2.91
Pm (0.8277, 0.5671, 0.3266)  2 Ni 2.83-2.91
Pm (0.8277, 0.9329, 0.3266)  2 Ni 2.83-2.91
Ni (0.1180, 0.7500, 0.4352)  2 La 2.79-2.99, 4 Pm 2.83-2.91
Ni (0.3820, 0.2500, 0.9352)  2 La 2.79-2.99, 4 Pm 2.83-2.91
Ni (0.6180, 0.7500, 0.0648)  2 La 2.79-2.99, 4 Pm 2.83-2.91
Ni (0.8820, 0.2500, 0.5648)  2 La 2.79-2.99, 4 Pm 2.83-2.91

Formation enthalpy at 0 K (meV per atom): -187.7
Spin magnetization (μB/f.u.): 0.00
DOS at the Fermi energy (states/eV/atom): 1.131
Relative energy among the computed polymorphs (kJ/mol of formula units): 0
Symmetry: Pnma, No. 62



(3)
Material: TcPdO4F
Method: DFT, GGA-PBE
State: optimized geometry

Cell lengths 6.6942, 6.6942, 6.5068 Å; angles 110.44, 110.44, 61.87 degrees
Closest atoms and distances in Å follow each position.
Sites, in units of the cell vectors:
Tc (0.1814, 0.1814, 0.2794)  4 O 1.70-1.78
Tc (0.8186, 0.8186, 0.7206)  4 O 1.70-1.78
Pd (0.3414, 0.3414, 0.8769)  1 F 1.98, 3 O 1.99
Pd (0.6586, 0.6586, 0.1231)  1 F 1.98, 3 O 1.99
O (0.0513, 0.0513, 0.3430)  1 Tc 1.70
O (0.0527, 0.6304, 0.8899)  1 Tc 1.78, 1 Pd 1.99
O (0.3094, 0.3094, 0.5521)  1 Tc 1.78, 1 Pd 1.99
O (0.3696, 0.9473, 0.1101)  1 Tc 1.78, 1 Pd 1.99
O (0.6304, 0.0527, 0.8899)  1 Tc 1.78, 1 Pd 1.99
O (0.6906, 0.6906, 0.4479)  1 Tc 1.78, 1 Pd 1.99
O (0.9473, 0.3696, 0.1101)  1 Tc 1.78, 1 Pd 1.99
O (0.9487, 0.9487, 0.6570)  1 Tc 1.70
F (0.3707, 0.3707, 0.1984)  1 Pd 1.98
F (0.6293, 0.6293, 0.8016)  1 Pd 1.98

Formation energy from raw total energies (eV per atom): -1.1052
Spin magnetization (μB/f.u.): 0.00
Symmetry: C2/m, No. 12